# 1
Rb2Sn2Bi | Alexandria | PBE | optimized geometry; E_form = -0.10 eV/atom
1.0
8.5647 0.0000 -0.2724
4.2824 6.0467 -0.1362
3.3893 0.0000 8.5860
Sn Bi Rb
4 2 4
Cartesian
8.1478 0.0000 2.3629
5.9072 0.0000 7.9505
3.8062 0.0000 5.9507
6.0468 0.0000 0.3631
4.2824 4.2091 -0.1362
8.5647 1.8376 -0.2724
3.0555 2.0282 2.4952
13.1808 4.0185 5.6822
8.8985 2.0282 5.8184
7.3379 4.0185 2.3590


# 2
RbEr2Th | Alexandria | PBE | optimized geometry; E_form = 0.29 eV/atom
1.0
3.6248 0.0000 0.0000
1.8124 3.1392 0.0000
1.8124 1.0464 13.1547
Er Th Rb
2 1 1
Cartesian
1.8124 1.0464 9.3118
5.4373 3.1392 3.8429
3.6248 2.0928 6.5774
0.0000 0.0000 0.0000


# 3
K4Np3PbO12 | Alexandria | PBE | optimized geometry; DFT total energy = -7.76 eV per atom
1.0
7.5672 0.0000 0.0000
-2.5224 7.1345 0.0000
-2.5224 -3.5672 6.1786
O Np K Pb
12 3 4 1
Cartesian
1.4094 -0.9966 1.7261
3.7836 0.0000 3.0893
-1.2612 3.5672 3.0893
3.6355 5.1413 0.0000
3.7836 2.6754 1.5447
-3.6355 2.5707 4.4525
-1.2612 0.8918 4.6340
1.4094 1.9931 0.0000
1.2612 4.4590 1.5447
3.6355 -2.5707 4.4525
1.2612 -0.8918 4.6340
-1.4094 0.9966 1.7261
2.5224 3.5672 0.0000
2.5224 -1.7836 3.0893
-2.5224 1.7836 3.0893
3.7836 0.0000 0.0000
-1.2612 -1.7836 3.0893
-1.2612 3.5672 0.0000
1.2612 1.7836 3.0893
0.0000 0.0000 0.0000


# 4
Ho5HgPt2 | Alexandria | PBE | optimized geometry; E_form = -0.83 eV/atom
1.0
7.0864 0.0000 -3.3452
-1.5791 6.9083 -3.3452
-0.2762 -0.3464 8.5935
Pt Ho Hg
4 10 2
Cartesian
5.1089 4.4012 -5.0178
4.2982 0.9471 -2.5898
0.3984 2.5071 -1.6726
1.2091 5.9612 -4.1006
4.4590 1.1487 3.1947
0.0000 0.0000 0.0000
2.8449 1.9590 -0.2246
2.7537 3.4541 -3.3452
6.1022 3.2099 -2.5029
-0.8710 3.3519 4.4061
1.2017 -0.1022 5.4730
2.3863 4.6028 2.1278
4.0295 6.6641 -3.5698
0.7722 5.4132 -1.2915
3.9924 5.0080 -0.7210
1.2388 1.5539 2.6242


# 5
TlPbCl | Alexandria | PBE | optimized geometry; DFT total energy = -2.95 eV per atom
1.0
-3.0711 -1.7527 -6.4594
-5.8839 -3.4869 -2.7293
3.1975 4.7573 4.6229
Cl Pb Tl
1 1 1
Cartesian
-0.0118 -0.0069 -0.0121
-3.0528 -1.7862 -3.1325
-5.8904 -3.4465 -6.0441


# 6
NbOs3Rh | Alexandria | PBE | optimized geometry; E_form = 2.25 eV/atom
1.0
-2.6848 -2.1855 3.0524
2.2309 -3.9469 -0.8637
3.0193 0.9730 3.3523
Os Rh Nb
3 1 1
Cartesian
1.5097 0.4865 1.6762
-1.3424 -1.0927 1.5262
1.1155 -1.9735 -0.4319
0.0000 0.0000 0.0000
1.2827 -2.5797 2.7705


# 7
Pm6Nd8Y | Alexandria | PBE | optimized geometry; E_form = 0.11 eV/atom
1.0
9.3052 0.0000 0.0000
4.6526 8.0586 0.0000
4.6526 2.6862 7.0402
Nd Pm Y
8 6 1
Cartesian
9.3052 5.3724 1.8783
9.3052 5.3724 5.1619
6.3415 3.8369 4.0828
12.1169 3.5735 4.0828
6.4936 7.1713 2.9574
9.1532 2.0380 2.9574
9.4573 8.7068 4.0828
12.2690 6.9079 2.9574
12.5733 9.6271 6.1818
6.0371 1.1176 0.8584
13.2917 6.0752 6.1818
5.3188 4.6695 0.8584
16.0085 8.4733 6.1818
2.6019 2.2714 0.8584
0.0000 0.0000 0.0000


# 8
ZrTa4Tc5 | Alexandria | PBE | optimized geometry; E_form = -0.48 eV/atom
1.0
3.2040 0.0000 0.0000
0.0000 3.2040 0.0000
0.0000 0.0000 16.0883
Tc Ta Zr
5 4 1
Cartesian
1.6020 1.6020 8.0442
1.6020 1.6020 14.3618
1.6020 1.6020 4.8799
1.6020 1.6020 11.2084
1.6020 1.6020 1.7265
0.0000 0.0000 9.6408
0.0000 0.0000 6.4475
0.0000 0.0000 12.8390
0.0000 0.0000 3.2493
0.0000 0.0000 0.0000


# 9
ScP2Br | Alexandria | PBE | optimized geometry; DFT total energy = -5.33 eV per atom
1.0
-0.7171 -1.0237 -5.0175
1.6204 -3.1105 -3.7995
-3.6008 -3.7500 0.4858
Br P Sc
1 2 1
Cartesian
-0.6744 -1.9711 -2.0828
-1.7793 -4.3153 -3.9787
-3.1703 -3.3768 0.2989
-2.0231 -5.9132 -6.2484


# 10
CaZnSi | Alexandria | PBE | optimized geometry; DFT total energy = -3.14 eV per atom
1.0
5.7939 0.0000 -0.0003
0.0001 3.8913 -0.0041
0.0012 1.9539 5.4760
Zn Ca Si
2 2 2
Cartesian
3.7475 5.6832 5.0487
0.8499 5.6833 5.0489
5.1973 3.7351 2.8824
2.3000 1.7850 1.7454
5.1965 1.7889 0.5538
2.2999 3.7316 4.0743


# 11
Cs4CaI6 | Alexandria | PBE | optimized geometry; DFT total energy = -2.93 eV per atom
1.0
10.5660 0.0491 -0.1383
0.1371 10.5653 -0.1383
-0.0495 -0.0491 10.5668
I Cs Ca
12 8 2
Cartesian
6.0826 4.6587 2.1166
5.9256 2.2554 5.9264
9.8674 7.5381 9.6981
9.8989 0.7610 7.4000
8.3605 6.0436 5.7373
0.7547 9.8043 2.8903
4.7281 8.3098 4.3639
2.2932 4.5216 4.5530
3.1097 9.8922 9.6473
0.7862 3.0272 0.5921
4.5710 5.9066 8.1737
7.5439 0.6730 0.6429
7.9326 3.9499 9.0845
1.3986 7.8994 6.4892
3.9611 1.3327 2.5726
9.2551 2.6659 3.8011
6.6925 9.2325 7.7177
2.6387 2.6168 7.8560
2.7211 6.6154 1.2058
8.0150 7.9485 2.4343
0.0000 0.0000 0.0000
5.3268 5.2826 5.1451


# 12
CdBrN2O | Alexandria | PBE | optimized geometry; DFT total energy = -3.10 eV per atom
1.0
3.9371 0.0000 0.0000
0.0000 3.9371 0.0000
0.0000 0.0000 4.1044
O N Br Cd
1 2 1 1
Cartesian
0.0000 0.0000 2.0522
0.0000 1.9685 0.0000
1.9685 0.0000 0.0000
0.0000 0.0000 0.0000
1.9685 1.9685 2.0522